Record 1
A plane-wave DFT calculation with GGA-PBE was carried out for a geometry-optimized Os3Pt structure.

Calculated values
- energy relative to the elements (eV/atom) = 0.8310

```
Os3Pt
1.0
-4.3631 -2.6915 -0.5563
4.3448 -2.2070 -1.6859
0.3710 3.0268 4.1583
Os Pt
3 1
direct
0.0000 0.0000 0.0000 Os
0.0000 0.5000 0.5000 Os
0.5000 0.5000 0.0000 Os
0.5000 0.0000 0.5000 Pt
```



Record 2
A plane-wave DFT calculation with GGA-PBE was carried out for a geometry-optimized Ba4SbSBr2 structure.

Calculated values
- ΔE_f (raw) (eV/atom) = -1.679

```
Ba4SbSBr2
1.0
-3.8151 -2.8463 -0.7539
4.1391 -3.9653 -5.9748
1.3611 -3.7635 7.3209
Ba Sb S Br
4 1 1 2
direct
0.5000 0.2314 0.2229 Ba
0.5000 0.7686 0.7771 Ba
0.0000 0.2453 0.7681 Ba
0.0000 0.7547 0.2319 Ba
0.5000 0.5000 0.0000 Sb
0.0000 0.0000 0.0000 S
0.5000 0.0000 0.5000 Br
0.0000 0.5000 0.5000 Br
```



Record 3
A plane-wave DFT calculation with GGA-PBE was carried out for a geometry-optimized HfCuPtRh2 structure.

Calculated values
- energy relative to the elements (eV/atom) = 1.0705

```
HfCuPtRh2
1.0
4.8613 0.0000 0.0000
0.0000 4.8010 0.0000
0.0000 0.0000 4.8613
Rh Hf Cu Pt
2 1 1 1
direct
0.0000 0.0000 0.5000 Rh
0.5000 0.0000 0.0000 Rh
0.0000 0.5000 0.0000 Hf
0.5000 0.5000 0.5000 Cu
0.0000 0.0000 0.0000 Pt
```



Record 4
A plane-wave DFT calculation with GGA-PBE was carried out for a geometry-optimized Nd3TmSe4 structure.

Calculated values
- ΔE_f (raw) (eV/atom) = -1.794
- polymorph energy (0 for the lowest one) (eV/f.u.) = 0.00

```
Nd3TmSe4
1.0
7.2052 0.0631 0.0000
-2.4667 6.8958 0.0000
0.0000 0.0000 8.2882
Tm Nd Se
2 6 8
direct
0.7500 0.0000 0.8732 Tm
0.2500 0.0000 0.1268 Tm
0.7500 0.0000 0.3771 Nd
0.2500 0.0000 0.6229 Nd
0.7500 0.5000 0.6212 Nd
0.7500 0.5000 0.1271 Nd
0.2500 0.5000 0.3788 Nd
0.2500 0.5000 0.8729 Nd
0.9922 0.2426 0.6331 Se
0.5008 0.2362 0.8819 Se
0.4922 0.2426 0.3669 Se
0.0008 0.2362 0.1181 Se
0.9992 0.7638 0.8819 Se
0.5078 0.7574 0.6331 Se
0.4992 0.7638 0.1181 Se
0.0078 0.7574 0.3669 Se
```



Record 5
A plane-wave DFT calculation with GGA-PBE was carried out for a geometry-optimized Sc3Tc structure.

Calculated values
- energy relative to the elements (eV/atom) = -0.1834

```
Sc3Tc
1.0
7.0882 0.0000 0.0000
0.0000 8.4633 0.0000
0.0000 0.0000 5.7291
Sc Tc
12 4
direct
0.0389 0.2500 0.8798 Sc
0.1775 0.0622 0.3545 Sc
0.1775 0.4378 0.3545 Sc
0.3225 0.5622 0.8545 Sc
0.3225 0.9378 0.8545 Sc
0.4611 0.7500 0.3798 Sc
0.5389 0.2500 0.6202 Sc
0.6775 0.0622 0.1455 Sc
0.6775 0.4378 0.1455 Sc
0.8225 0.5622 0.6455 Sc
0.8225 0.9378 0.6455 Sc
0.9611 0.7500 0.1202 Sc
0.1185 0.7500 0.5499 Tc
0.3815 0.2500 0.0499 Tc
0.6185 0.7500 0.9501 Tc
0.8815 0.2500 0.4501 Tc
```



Record 6
A plane-wave DFT calculation with GGA-PBE was carried out for a geometry-optimized Sr8Zn2In structure.

Calculated values
- energy relative to the elements (eV/atom) = -0.1009

```
Sr8Zn2In
1.0
6.1395 0.0860 -1.0155
-2.0594 8.1848 -3.3599
0.1137 -0.0232 9.0833
Sr Zn In
8 2 1
direct
0.5847 0.3267 0.0692 Sr
0.5847 0.0692 0.3267 Sr
0.1890 0.3733 0.3733 Sr
0.9996 0.2392 0.7669 Sr
0.9996 0.7669 0.2392 Sr
0.8107 0.6329 0.6329 Sr
0.4141 0.9369 0.6793 Sr
0.4141 0.6793 0.9369 Sr
0.4996 0.6870 0.3192 Zn
0.4996 0.3192 0.6870 Zn
0.0041 0.0032 0.0032 In
```



Record 7
A plane-wave DFT calculation with GGA-PBE was carried out for a geometry-optimized Pm11Tl9Rh4 structure.

Calculated values
- energy relative to the elements (eV/atom) = -0.5383

```
Pm11Tl9Rh4
1.0
3.8016 0.0000 0.0000
0.0000 12.4272 -5.2157
0.0000 0.0876 13.4771
Pm Tl Rh
11 9 4
direct
0.0000 0.5828 0.9185 Pm
0.0000 0.4172 0.0815 Pm
0.0000 0.9185 0.5828 Pm
0.0000 0.0815 0.4172 Pm
0.0000 0.6261 0.3739 Pm
0.0000 0.3739 0.6261 Pm
0.0000 0.8371 0.1629 Pm
0.0000 0.1629 0.8371 Pm
0.0000 0.0000 0.0000 Pm
0.0000 0.6879 0.6879 Pm
0.0000 0.3121 0.3121 Pm
0.5000 0.6316 0.1561 Tl
0.5000 0.3684 0.8439 Tl
0.5000 0.1561 0.6316 Tl
0.5000 0.8439 0.3684 Tl
0.5000 0.7826 0.9261 Tl
0.5000 0.2174 0.0739 Tl
0.5000 0.9261 0.7826 Tl
0.5000 0.0739 0.2174 Tl
0.5000 0.5000 0.5000 Tl
0.5000 0.5508 0.7527 Rh
0.5000 0.4492 0.2473 Rh
0.5000 0.7527 0.5508 Rh
0.5000 0.2473 0.4492 Rh
```



Record 8
A plane-wave DFT calculation with GGA-PBE was carried out for a geometry-optimized CsTlTe2I structure.

Calculated values
- ΔE_f (raw) (eV/atom) = -0.329
- polymorph energy (0 for the lowest one) (eV/f.u.) = 0.00

```
CsTlTe2I
1.0
5.8680 0.0000 0.0000
0.0000 5.8680 0.0000
0.0000 0.0000 6.7018
Cs I Tl Te
1 1 1 2
direct
0.5000 0.5000 0.5000 Cs
0.0000 0.0000 0.5000 I
0.0000 0.0000 0.0000 Tl
0.0000 0.5000 0.0000 Te
0.5000 0.0000 0.0000 Te
```



Record 9
A plane-wave DFT calculation with GGA-PBE was carried out for a geometry-optimized SmAlCu2Pd4 structure.

Calculated values
- energy relative to the elements (eV/atom) = -0.5683

```
SmAlCu2Pd4
1.0
4.3970 0.0000 0.0000
2.1985 3.8079 0.0000
2.1985 1.2693 7.7854
Sm Al Cu Pd
1 1 2 4
direct
0.0000 0.0000 0.0000 Sm
0.5000 0.5000 0.5000 Al
0.7527 0.7527 0.7418 Cu
0.2473 0.2473 0.2582 Cu
0.3957 0.3957 0.8128 Pd
0.8690 0.8690 0.3929 Pd
0.1310 0.1310 0.6071 Pd
0.6043 0.6043 0.1872 Pd
```



Record 10
A plane-wave DFT calculation with GGA-PBE was carried out for a geometry-optimized Mn2NiOs structure.

Calculated values
- energy relative to the elements (eV/atom) = 0.0981

```
Mn2NiOs
1.0
2.6411 0.0000 0.0000
0.0000 2.6411 0.0000
0.0000 0.0000 7.1165
Mn Ni Os
2 1 1
direct
0.0000 0.0000 0.0020 Mn
0.5000 0.5000 0.2477 Mn
0.0000 0.0000 0.4941 Ni
0.5000 0.5000 0.7562 Os
```



Record 11
A plane-wave DFT calculation with GGA-PBE was carried out for a geometry-optimized Tb2CdSn structure.

Calculated values
- energy relative to the elements (eV/atom) = -0.0196

```
Tb2CdSn
1.0
-1.7006 -1.0586 2.8610
1.2070 -2.7070 1.8476
6.0580 5.8342 7.8915
Tb Sn Cd
2 1 1
direct
0.0920 0.0920 0.7241 Tb
0.9080 0.9080 0.2759 Tb
0.0000 0.0000 0.0000 Sn
0.5000 0.5000 0.5000 Cd
```



Record 12
A plane-wave DFT calculation with GGA-PBE was carried out for a geometry-optimized Ac2GaCu3 structure.

Calculated values
- polymorph energy (0 for the lowest one) (eV/f.u.) = 0.03
- energy relative to the elements (eV/atom) = -0.2825

```
Ac2GaCu3
1.0
-2.8462 2.2287 2.3505
-2.2998 0.8005 -3.5439
-1.4930 -7.9556 1.7804
Ac Ga Cu
2 1 3
direct
0.1286 0.1286 0.2572 Ac
0.8705 0.3705 0.7409 Ac
0.4610 0.9610 0.9221 Ga
0.7063 0.7063 0.4126 Cu
0.5411 0.5411 0.0823 Cu
0.2925 0.7925 0.5850 Cu
```



| no. | V (Å³/atom) | energy (eV per atom) |
| --- | --- | --- |
| 1 | 15.1 | -9.1015 |
| 2 | 39.2 | -4.0900 |
| 3 | 22.7 | -5.8882 |
| 4 | 25.8 | -5.8836 |
| 5 | 21.5 | -7.5236 |
| 6 | 41.7 | -1.8046 |
| 7 | 26.6 | -4.8283 |
| 8 | 46.2 | -2.5402 |
| 9 | 16.3 | -5.2465 |
| 10 | 12.4 | -8.7394 |
| 11 | 30.0 | -3.5642 |
| 12 | 23.8 | -4.2045 |